Material: CoSbW2N
Method: DFT, GGA-PBEsol
State: optimized geometry

Calculated volume (Å³ per cell): 105.5
Space group: P4/mmm
E_form (uncorrected) (eV per formula unit): 17.3
Theoretical density (Mg/m³): 8.849
Total magnetic moment (μB per atom): 0.239

Cell lengths 4.9030, 4.9030, 4.3902 Å; angles 90.00, 90.00, 90.00 degrees
Sites, in units of the cell vectors:
Co 0.0000 0.0000 0.0000
Sb 0.0000 0.0000 0.5000
W 0.0000 0.5000 0.5000
W 0.5000 0.0000 0.5000
N 0.5000 0.5000 0.0000